[1]
Pu2GaCo: relaxed, PBE.

Computed properties:
The value obtained for the calculated formation energy is 0.6 eV per formula unit. For the mass density, the calculation gives 16.9 g cm⁻³. For the density of states at the Fermi level, the calculation gives 7.8 states/eV/cell. For the total magnetic moment, the calculation gives 0.46 μB per cell.

Cell and atoms, written as extended XYZ:
```
4
Lattice="-2.7118 -0.1355 -3.9879 -2.6757 -1.3716 1.8662 -1.1862 3.2607 0.6958" Properties=species:S:1:pos:R:3 pbc="T T T"
Co -3.2869 0.8768 -0.7129
Pu -0.5931 1.6304 0.3479
Pu -1.3379 -0.6858 0.9331
Ga -1.3559 -0.0678 -1.9939
```

[2]
CoNiPt4: relaxed, PBE.

Computed properties:
The value obtained for the calculated formation energy is 0.3 eV per formula unit. For the mass density, the calculation gives 17.2 g cm⁻³. For the density of states at the Fermi level, the calculation gives 11.8 states/eV/cell. The value obtained for the excess energy over the best structure of this formula in the dataset is 160 meV/atom. For the total magnetic moment, the calculation gives 3.21 μB per cell.

Cell and atoms, written as extended XYZ:
```
6
Lattice="3.2163 -0.4107 -0.1181 0.4064 3.2169 -0.1181 0.3356 0.2599 8.2341" Properties=species:S:1:pos:R:3 pbc="T T T"
Pt 0.6283 3.3886 5.3259
Ni 1.9792 1.5331 3.9989
Pt 1.8652 1.4448 1.2014
Pt 2.0932 1.6213 6.7965
Co 0.0000 0.0000 0.0000
Pt 3.3301 -0.3225 2.6719
```